<one>
The following is a DFT calculation (GGA-PBE) of a relaxed TbHoErIn crystal.

Unit cell a=5.431 b=5.431 c=5.431 alpha=60.00 beta=60.00 gamma=60.00
Fractional coordinates of all 4 atoms:
Tb 0.000 0.000 0.000
Ho 0.750 0.750 0.750
In 0.250 0.250 0.250
Er 0.500 0.500 0.500

Values from the calculation:
space group: F-43m, No. 216
crystal system: cubic
total moment: 0.95 μB per formula unit

<two>
The following is a DFT calculation (GGA-PBE) of a relaxed TbHoErIn crystal.

Unit cell a=4.829 b=4.829 c=4.830 alpha=90.00 beta=90.00 gamma=90.00
Fractional coordinates of all 4 atoms:
Er 0.000 0.500 0.500
Ho 0.500 0.500 0.000
Tb 0.500 0.000 0.500
In 0.000 0.000 0.000

Values from the calculation:
space group: Pmmm, No. 47
crystal system: orthorhombic
total moment: 0.00 μB per formula unit

<two> has the most favorable energy; the next structure is 143 meV per atom above.

<one>
The following is a DFT calculation (GGA-PBE) of a relaxed HoEr2Ir crystal.

Unit cell a=6.364 b=7.190 c=9.143 alpha=90.00 beta=90.00 gamma=90.00
Fractional coordinates of all 16 atoms:
Ir 0.956 0.616 0.750
Ir 0.044 0.384 0.250
Ir 0.544 0.116 0.750
Ir 0.456 0.884 0.250
Er 0.326 0.177 0.438
Er 0.174 0.677 0.062
Er 0.674 0.823 0.938
Er 0.326 0.177 0.062
Er 0.174 0.677 0.438
Er 0.826 0.323 0.938
Er 0.674 0.823 0.562
Er 0.826 0.323 0.562
Ho 0.128 0.967 0.750
Ho 0.372 0.467 0.750
Ho 0.628 0.533 0.250
Ho 0.872 0.033 0.250

Values from the calculation:
space group: Pnma, No. 62
crystal system: orthorhombic
total moment: 0.00 μB per formula unit

<two>
The following is a DFT calculation (GGA-PBE) of a relaxed HoEr2Ir crystal.

Unit cell a=3.449 b=3.449 c=8.712 alpha=90.00 beta=90.00 gamma=90.00
Fractional coordinates of all 4 atoms:
Ho 0.500 0.500 0.500
Ir 0.500 0.500 0.000
Er 0.000 0.000 0.186
Er 0.000 0.000 0.814

Values from the calculation:
space group: P4/mmm, No. 123
crystal system: tetragonal
total moment: 0.00 μB per formula unit

<three>
The following is a DFT calculation (GGA-PBE) of a relaxed HoEr2Ir crystal.

Unit cell a=3.878 b=6.289 c=9.006 alpha=90.00 beta=90.00 gamma=107.96
Fractional coordinates of all 8 atoms:
Ir 0.753 0.507 0.250
Ir 0.247 0.493 0.750
Ho 0.573 0.146 0.750
Ho 0.427 0.854 0.250
Er 0.142 0.284 0.434
Er 0.858 0.716 0.934
Er 0.142 0.284 0.066
Er 0.858 0.716 0.566

Values from the calculation:
space group: Cmcm, No. 63
crystal system: orthorhombic
total moment: 0.00 μB per formula unit

<one> has the most favorable energy; the next structure is 37 meV per atom above.

<one>
The following is a DFT calculation (GGA-PBE) of a relaxed HoErIr crystal.

Unit cell a=4.773 b=4.773 c=4.773 alpha=60.00 beta=60.00 gamma=60.00
Fractional coordinates of all 3 atoms:
Ho 0.000 0.000 0.000
Er 0.500 0.500 0.500
Ir 0.250 0.250 0.250

Values from the calculation:
space group: F-43m, No. 216
crystal system: cubic
total moment: 0.00 μB per formula unit

<two>
The following is a DFT calculation (GGA-PBE) of a relaxed HoErIr crystal.

Unit cell a=6.421 b=6.942 c=7.587 alpha=89.87 beta=90.00 gamma=90.00
Fractional coordinates of all 12 atoms:
Er 0.237 0.576 0.109
Er 0.763 0.424 0.891
Er 0.737 0.424 0.391
Er 0.263 0.576 0.609
Ho 0.262 0.077 0.392
Ho 0.762 0.923 0.108
Ho 0.238 0.077 0.892
Ho 0.738 0.923 0.608
Ir 0.501 0.251 0.651
Ir 0.999 0.251 0.151
Ir 0.001 0.749 0.849
Ir 0.499 0.749 0.349

Values from the calculation:
space group: P2_1/c, No. 14
crystal system: monoclinic
total moment: 0.00 μB per formula unit

<three>
The following is a DFT calculation (GGA-PBE) of a relaxed HoErIr crystal.

Unit cell a=3.443 b=3.443 c=6.768 alpha=104.74 beta=104.74 gamma=90.00
Fractional coordinates of all 3 atoms:
Ir 0.666 0.666 0.332
Ho 0.295 0.295 0.590
Er 0.039 0.039 0.077

Values from the calculation:
space group: I4mm, No. 107
crystal system: tetragonal
total moment: 0.00 μB per formula unit

<four>
The following is a DFT calculation (GGA-PBE) of a relaxed HoErIr crystal.

Unit cell a=4.771 b=4.772 c=6.743 alpha=90.08 beta=90.06 gamma=90.00
Fractional coordinates of all 6 atoms:
Er 0.000 0.500 0.750
Er 0.000 0.500 0.250
Ho 0.500 0.000 0.750
Ho 0.500 0.000 0.250
Ir 0.500 0.500 0.500
Ir 0.000 0.000 0.000

Values from the calculation:
space group: C2/c, No. 15
crystal system: monoclinic
total moment: 0.00 μB per formula unit

<four> has the most favorable energy; the next structure is 6 meV per atom above.

<one>
The following is a DFT calculation (GGA-PBE) of a relaxed HoEr3Ir crystal.

Unit cell a=6.114 b=6.483 c=7.547 alpha=90.01 beta=90.00 gamma=89.99
Fractional coordinates of all 10 atoms:
Er 0.922 0.023 0.701
Er 0.426 0.864 0.951
Er 0.426 0.864 0.451
Er 0.926 0.488 0.951
Er 0.422 0.330 0.201
Er 0.926 0.488 0.451
Ir 0.676 0.676 0.201
Ir 0.176 0.677 0.701
Ho 0.929 0.024 0.201
Ho 0.429 0.329 0.701

Values from the calculation:
space group: Pmn2_1, No. 31
crystal system: orthorhombic
total moment: 0.00 μB per formula unit

<two>
The following is a DFT calculation (GGA-PBE) of a relaxed HoEr3Ir crystal.

Unit cell a=5.379 b=5.379 c=5.379 alpha=90.00 beta=90.00 gamma=90.00
Fractional coordinates of all 5 atoms:
Er 0.000 0.000 0.500
Er 0.000 0.500 0.000
Er 0.500 0.000 0.000
Ho 0.500 0.500 0.500
Ir 0.000 0.000 0.000

Values from the calculation:
space group: Pm-3m, No. 221
crystal system: cubic
total moment: 0.00 μB per formula unit

<one> has the most favorable energy; the next structure is 86 meV per atom above.

<one>
The following is a DFT calculation (GGA-PBE) of a relaxed HoErTlIr crystal.

Unit cell a=3.440 b=3.440 c=8.034 alpha=90.00 beta=90.00 gamma=90.00
Fractional coordinates of all 4 atoms:
Ir 0.000 0.000 0.570
Ho 0.500 0.500 0.776
Er 0.500 0.500 0.367
Tl 0.000 0.000 0.072

Values from the calculation:
space group: P4mm, No. 99
crystal system: tetragonal
total moment: 0.00 μB per formula unit

<two>
The following is a DFT calculation (GGA-PBE) of a relaxed HoErTlIr crystal.

Unit cell a=5.065 b=5.065 c=5.065 alpha=60.00 beta=60.00 gamma=60.00
Fractional coordinates of all 4 atoms:
Ir 0.500 0.500 0.500
Tl 0.000 0.000 0.000
Er 0.250 0.250 0.250
Ho 0.750 0.750 0.750

Values from the calculation:
space group: F-43m, No. 216
crystal system: cubic
total moment: 0.00 μB per formula unit

<one> has the most favorable energy; the next structure is 126 meV per atom above.

<one>
The following is a DFT calculation (GGA-PBE) of a relaxed LaHo2Er3 crystal.

Unit cell a=3.576 b=9.439 c=11.537 alpha=90.00 beta=90.00 gamma=100.92
Fractional coordinates of all 12 atoms:
Ho 0.554 0.108 0.250
Ho 0.000 0.000 0.500
Ho 0.446 0.892 0.750
Ho 0.000 0.000 0.000
Er 0.335 0.670 0.495
Er 0.892 0.784 0.250
Er 0.108 0.216 0.750
Er 0.335 0.670 0.005
Er 0.665 0.330 0.995
Er 0.665 0.330 0.505
La 0.221 0.442 0.250
La 0.779 0.558 0.750

Values from the calculation:
space group: Cmcm, No. 63
crystal system: orthorhombic
total moment: 0.00 μB per formula unit

<two>
The following is a DFT calculation (GGA-PBE) of a relaxed LaHo2Er3 crystal.

Unit cell a=3.634 b=11.317 c=11.089 alpha=120.49 beta=99.43 gamma=90.00
Fractional coordinates of all 12 atoms:
Ho 0.058 0.190 0.116
Ho 0.942 0.810 0.884
Ho 0.276 0.649 0.552
Ho 0.724 0.351 0.448
La 0.389 0.015 0.778
La 0.611 0.985 0.222
Er 0.611 0.488 0.223
Er 0.279 0.156 0.558
Er 0.721 0.844 0.442
Er 0.945 0.325 0.890
Er 0.389 0.512 0.777
Er 0.055 0.675 0.110

Values from the calculation:
space group: C2/m, No. 12
crystal system: monoclinic
total moment: 0.00 μB per formula unit

<two> has the most favorable energy; the next structure is 7 meV per atom above.

<one>
The following is a DFT calculation (GGA-PBE) of a relaxed La2Ho12Er5 crystal.

Unit cell a=9.197 b=12.369 c=8.475 alpha=132.45 beta=90.00 gamma=111.83
Fractional coordinates of all 19 atoms:
Ho 0.442 0.884 0.209
Ho 0.978 0.318 0.072
Ho 0.817 0.251 0.604
Ho 0.183 0.749 0.396
Ho 0.903 0.807 0.690
Ho 0.566 0.749 0.396
Ho 0.434 0.251 0.604
Ho 0.558 0.116 0.791
Ho 0.097 0.193 0.310
Ho 0.022 0.682 0.928
Ho 0.660 0.682 0.928
Ho 0.340 0.318 0.072
Er 0.233 0.466 0.888
Er 0.767 0.534 0.112
Er 0.304 0.607 0.613
Er 0.000 0.000 0.500
Er 0.696 0.393 0.387
La 0.690 0.000 0.000
La 0.310 0.000 0.000

Values from the calculation:
space group: C2/m, No. 12
crystal system: monoclinic
total moment: 0.00 μB per formula unit

<two>
The following is a DFT calculation (GGA-PBE) of a relaxed La2Ho12Er5 crystal.

Unit cell a=6.730 b=12.937 c=12.273 alpha=139.51 beta=68.00 gamma=118.73
Fractional coordinates of all 19 atoms:
Ho 0.925 0.642 0.056
Ho 0.613 0.031 0.803
Ho 0.289 0.609 0.475
Ho 0.851 0.594 0.361
Ho 0.871 0.032 0.281
Ho 0.129 0.968 0.719
Ho 0.075 0.358 0.944
Ho 0.484 0.387 0.071
Ho 0.711 0.391 0.525
Ho 0.387 0.969 0.197
Ho 0.516 0.613 0.929
Ho 0.149 0.406 0.639
Er 0.585 0.219 0.679
Er 0.000 0.000 0.500
Er 0.396 0.251 0.236
Er 0.604 0.749 0.764
Er 0.415 0.781 0.321
La 0.920 0.190 0.116
La 0.080 0.810 0.884

Values from the calculation:
space group: P-1, No. 2
crystal system: triclinic
total moment: 0.00 μB per formula unit

<two> has the most favorable energy; the next structure is 50 meV per atom above.

<one>
The following is a DFT calculation (GGA-PBE) of a relaxed La3HoEr crystal.

Unit cell a=3.604 b=11.119 c=17.708 alpha=90.00 beta=90.00 gamma=90.00
Fractional coordinates of all 20 atoms:
Er 0.754 0.750 0.273
Er 0.754 0.250 0.227
Er 0.246 0.750 0.773
Er 0.246 0.250 0.727
La 0.747 0.500 0.750
La 0.752 0.558 0.425
La 0.752 0.442 0.075
La 0.752 0.058 0.075
La 0.248 0.942 0.925
La 0.752 0.942 0.425
La 0.253 0.500 0.250
La 0.747 0.000 0.750
La 0.248 0.442 0.575
La 0.248 0.058 0.575
La 0.253 0.000 0.250
La 0.248 0.558 0.925
Ho 0.745 0.750 0.603
Ho 0.745 0.250 0.897
Ho 0.255 0.750 0.103
Ho 0.255 0.250 0.397

Values from the calculation:
space group: Pbcm, No. 57
crystal system: orthorhombic
total moment: 0.00 μB per formula unit

<two>
The following is a DFT calculation (GGA-PBE) of a relaxed La3HoEr crystal.

Unit cell a=6.287 b=6.289 c=9.689 alpha=84.09 beta=71.08 gamma=71.51
Fractional coordinates of all 10 atoms:
Ho 0.164 0.656 0.390
Ho 0.862 0.156 0.995
La 0.065 0.156 0.590
La 0.462 0.155 0.796
La 0.564 0.655 0.590
La 0.961 0.656 0.795
La 0.263 0.155 0.193
La 0.763 0.656 0.193
Er 0.362 0.655 0.995
Er 0.664 0.156 0.391

Values from the calculation:
space group: P-1, No. 2
crystal system: triclinic
total moment: 0.00 μB per formula unit

<two> has the most favorable energy; the next structure is 128 meV per atom above.